A geometry-optimized LiNiP4O12 structure. Source: the Alexandria database, functional PBE with a Hubbard U.

Structure (extended XYZ):
```
36
Lattice="-3.021 10.433 -7.697 -3.264 1.728 3.622 4.577 4.158 3.839" Properties=species:S:1:pos:R:3 pbc="T T T"
Ni -0.453 4.936 1.773
Ni -1.082 10.783 -1.567
O -1.399 6.472 2.600
O -0.690 3.991 3.539
O -0.695 7.887 -3.513
O -3.842 10.238 -5.603
O -4.454 8.032 -1.797
O 1.177 5.771 2.362
O -3.601 6.397 1.319
O -0.263 5.806 -0.021
O -0.130 8.356 4.712
O -0.725 12.383 -5.286
O -0.070 9.051 -1.358
O -0.562 10.721 -3.481
O -2.178 4.249 1.089
O -0.281 5.901 5.144
O 0.574 3.238 1.247
O -1.537 10.507 0.416
O 0.531 11.859 -1.171
O -2.686 9.861 -2.091
O 3.490 5.716 3.457
O -1.816 8.785 -5.556
O 1.104 12.648 -3.567
O 1.158 9.451 2.880
O -2.033 12.540 -1.711
O -2.318 8.545 1.650
P -1.209 4.654 4.794
P -4.007 9.405 -1.500
P 0.490 8.249 -2.511
P 1.170 12.993 -1.969
P -3.365 5.004 0.494
P 0.564 5.454 -1.234
P -2.968 13.265 -0.773
P 2.678 5.600 2.232
Li 0.266 10.423 1.480
Li -0.734 1.613 1.443
```

Output
Spin magnetization, μB/f.u.: 3.09
Electronic total energy, eV/f.u.: -120.24
V, Å³/cell: 494.5
ΔE to the lowest computed polymorph, meV/atom: 29